{
  "formula": "SrHoTe2AuSe",
  "functional": "PBE",
  "state": "relaxed",
  "volume_a3_per_atom": 28.16,
  "total_energy_ev_per_atom": -4.47,
  "m_tot_mub_per_fu": 0.0,
  "sg": "Cmcm",
  "lattice": [[6.953, 1.459, -2.913], [-7.465, -1.222, -1.316], [-1.869, 10.541, 0.817]],
  "species": ["Se", "Se", "Sr", "Au", "Te", "Te", "Ho", "Te", "Ho", "Te", "Sr", "Au"],
  "frac_coords": [[0.582, 0.418, 0.750], [0.418, 0.582, 0.250], [0.242, 0.758, 0.750], [0.971, 0.029, 0.750], [0.148, 0.852, 0.052], [0.148, 0.852, 0.448], [0.500, 0.500, 0.500], [0.852, 0.148, 0.948], [0.500, 0.500, 0.000], [0.852, 0.148, 0.552], [0.758, 0.242, 0.250], [0.029, 0.971, 0.250]]
}

---

{
  "formula": "SrHoTeAuSe2",
  "functional": "PBE",
  "state": "relaxed",
  "volume_a3_per_atom": 27.50,
  "total_energy_ev_per_atom": -4.63,
  "m_tot_mub_per_fu": 0.0,
  "sg": "Cmcm",
  "lattice": [[-1.398, 7.276, 1.626], [-0.609, -7.297, 1.981], [9.551, 0.646, 5.317]],
  "species": ["Sr", "Se", "Ho", "Se", "Ho", "Au", "Sr", "Se", "Se", "Te", "Au", "Te"],
  "frac_coords": [[0.216, 0.784, 0.250], [0.633, 0.367, 0.057], [0.000, 0.000, 0.000], [0.367, 0.633, 0.557], [0.000, 0.000, 0.500], [0.526, 0.474, 0.250], [0.784, 0.216, 0.750], [0.633, 0.367, 0.443], [0.367, 0.633, 0.943], [0.103, 0.897, 0.750], [0.474, 0.526, 0.750], [0.897, 0.103, 0.250]]
}

---

{
  "formula": "TbHoAu2Se4",
  "functional": "PBE",
  "state": "relaxed",
  "volume_a3_per_atom": 24.11,
  "total_energy_ev_per_atom": -4.85,
  "m_tot_mub_per_fu": 0.0,
  "sg": "Cmm2",
  "lattice": [[4.650, -4.654, 0.000], [4.650, 4.654, 0.000], [0.000, 0.000, 4.456]],
  "species": ["Ho", "Tb", "Se", "Se", "Se", "Au", "Se", "Au"],
  "frac_coords": [[0.000, 0.000, 0.179], [0.500, 0.500, 0.820], [0.703, 0.703, 0.298], [0.800, 0.200, 0.704], [0.200, 0.800, 0.704], [0.000, 0.500, 0.999], [0.297, 0.297, 0.298], [0.500, 0.000, 0.999]]
}

---

{
  "formula": "HoTlAuSe3",
  "functional": "PBE",
  "state": "relaxed",
  "volume_a3_per_atom": 26.27,
  "total_energy_ev_per_atom": -4.30,
  "m_tot_mub_per_fu": 0.0,
  "sg": "Cmcm",
  "lattice": [[2.007, -7.311, 0.000], [2.007, 7.311, 0.000], [0.000, 0.000, 10.740]],
  "species": ["Se", "Au", "Se", "Se", "Ho", "Au", "Se", "Se", "Se", "Tl", "Tl", "Ho"],
  "frac_coords": [[0.365, 0.635, 0.049], [0.464, 0.536, 0.250], [0.365, 0.635, 0.451], [0.635, 0.365, 0.951], [0.000, 0.000, 0.500], [0.536, 0.464, 0.750], [0.920, 0.080, 0.750], [0.080, 0.920, 0.250], [0.635, 0.365, 0.549], [0.242, 0.758, 0.750], [0.758, 0.242, 0.250], [0.000, 0.000, 0.000]]
}

---

{
  "formula": "Tb2HoSi4Au4",
  "functional": "PBE",
  "state": "relaxed",
  "volume_a3_per_atom": 19.95,
  "total_energy_ev_per_atom": -5.14,
  "m_tot_mub_per_fu": 0.0,
  "sg": "Immm",
  "lattice": [[-2.068, 2.118, 12.521], [2.068, -2.118, 12.521], [2.068, 2.118, -12.521]],
  "species": ["Si", "Au", "Si", "Tb", "Au", "Si", "Au", "Au", "Si", "Ho", "Tb"],
  "frac_coords": [[0.547, 0.547, 0.000], [0.252, 0.252, 0.000], [0.810, 0.310, 0.500], [0.648, 0.148, 0.500], [0.748, 0.748, 0.000], [0.453, 0.453, 0.000], [0.906, 0.406, 0.500], [0.094, 0.594, 0.500], [0.190, 0.690, 0.500], [0.000, 0.000, 0.000], [0.352, 0.852, 0.500]]
}

---

{
  "formula": "TbHo2Si4Au4",
  "functional": "PBE",
  "state": "relaxed",
  "volume_a3_per_atom": 19.88,
  "total_energy_ev_per_atom": -5.12,
  "m_tot_mub_per_fu": 0.0,
  "sg": "Immm",
  "lattice": [[12.628, 1.831, -1.565], [11.323, 5.251, 3.080], [-11.407, -5.843, 1.008]],
  "species": ["Si", "Au", "Si", "Si", "Au", "Au", "Ho", "Tb", "Si", "Ho", "Au"],
  "frac_coords": [[0.547, 0.547, 0.000], [0.252, 0.252, 0.000], [0.810, 0.310, 0.500], [0.453, 0.453, 0.000], [0.906, 0.406, 0.500], [0.094, 0.594, 0.500], [0.352, 0.852, 0.500], [0.000, 0.000, 0.000], [0.190, 0.690, 0.500], [0.648, 0.148, 0.500], [0.748, 0.748, 0.000]]
}

---

{
  "formula": "HoSi2TcAu",
  "functional": "PBE",
  "state": "relaxed",
  "volume_a3_per_atom": 17.42,
  "total_energy_ev_per_atom": -6.40,
  "m_tot_mub_per_fu": 0.0,
  "sg": "I-4m2",
  "lattice": [[-2.064, 2.064, 5.114], [2.064, -2.064, 5.114], [2.064, 2.064, -5.114]],
  "species": ["Si", "Au", "Tc", "Ho", "Si"],
  "frac_coords": [[0.866, 0.366, 0.500], [0.500, 0.500, 0.000], [0.000, 0.000, 0.000], [0.250, 0.750, 0.500], [0.634, 0.134, 0.500]]
}

---

{
  "formula": "Y2HoSi4Au4",
  "functional": "PBE",
  "state": "relaxed",
  "volume_a3_per_atom": 19.90,
  "total_energy_ev_per_atom": -5.47,
  "m_tot_mub_per_fu": 0.0,
  "sg": "Immm",
  "lattice": [[3.629, 4.017, 11.673], [2.087, 9.025, 8.932], [-5.609, -6.912, -9.292]],
  "species": ["Si", "Au", "Au", "Si", "Y", "Si", "Au", "Ho", "Au", "Y", "Si"],
  "frac_coords": [[0.453, 0.453, 0.000], [0.907, 0.407, 0.500], [0.748, 0.748, 0.000], [0.547, 0.547, 0.000], [0.647, 0.147, 0.500], [0.190, 0.690, 0.500], [0.093, 0.593, 0.500], [0.000, 0.000, 0.000], [0.252, 0.252, 0.000], [0.353, 0.853, 0.500], [0.810, 0.310, 0.500]]
}

---

Copy entry 4 word for word.
{
  "formula": "HoTlAuSe3",
  "functional": "PBE",
  "state": "relaxed",
  "volume_a3_per_atom": 26.27,
  "total_energy_ev_per_atom": -4.30,
  "m_tot_mub_per_fu": 0.0,
  "sg": "Cmcm",
  "lattice": [[2.007, -7.311, 0.000], [2.007, 7.311, 0.000], [0.000, 0.000, 10.740]],
  "species": ["Se", "Au", "Se", "Se", "Ho", "Au", "Se", "Se", "Se", "Tl", "Tl", "Ho"],
  "frac_coords": [[0.365, 0.635, 0.049], [0.464, 0.536, 0.250], [0.365, 0.635, 0.451], [0.635, 0.365, 0.951], [0.000, 0.000, 0.500], [0.536, 0.464, 0.750], [0.920, 0.080, 0.750], [0.080, 0.920, 0.250], [0.635, 0.365, 0.549], [0.242, 0.758, 0.750], [0.758, 0.242, 0.250], [0.000, 0.000, 0.000]]
}